(1)
{
  "formula": "Mn3CdHg",
  "functional": "PBE",
  "state": "relaxed",
  "cell": [[5.0643, 0.0000, 0.0000], [0.0000, 5.0643, 0.0000], [0.0000, 0.0000, 5.0643]],
  "species": ["Mn", "Mn", "Mn", "Cd", "Hg"],
  "fractional_positions": [[0.0000, 0.0000, 0.5000], [0.0000, 0.5000, 0.0000], [0.5000, 0.0000, 0.0000], [0.5000, 0.5000, 0.5000], [0.0000, 0.0000, 0.0000]],
  "spacegroup": "Pm-3m",
  "magnetic_moment_mub_per_fu": 12.83
}

(2)
{
  "formula": "Mn2CdHg",
  "functional": "PBE",
  "state": "relaxed",
  "cell": [[4.0477, 0.0000, 0.0000], [0.0000, 4.0477, 0.0000], [0.0000, 0.0000, 8.8652]],
  "species": ["Mn", "Mn", "Mn", "Mn", "Cd", "Cd", "Hg", "Hg"],
  "fractional_positions": [[0.0000, 0.0000, 0.0000], [0.0000, 0.5000, 0.2500], [0.5000, 0.0000, 0.7500], [0.5000, 0.5000, 0.5000], [0.0000, 0.5000, 0.7500], [0.5000, 0.0000, 0.2500], [0.0000, 0.0000, 0.5000], [0.5000, 0.5000, 0.0000]],
  "spacegroup": "I-4m2",
  "magnetic_moment_mub_per_fu": 7.61
}

(3)
{
  "formula": "Mn2CdHg",
  "functional": "PBE",
  "state": "relaxed",
  "cell": [[6.6186, 0.0000, 0.0000], [0.0000, 6.6186, 0.0000], [0.0000, 0.0000, 6.6186]],
  "species": ["Mn", "Mn", "Mn", "Mn", "Mn", "Mn", "Mn", "Mn", "Cd", "Cd", "Cd", "Cd", "Hg", "Hg", "Hg", "Hg"],
  "fractional_positions": [[0.2500, 0.2500, 0.2500], [0.2500, 0.2500, 0.7500], [0.2500, 0.7500, 0.2500], [0.2500, 0.7500, 0.7500], [0.7500, 0.2500, 0.2500], [0.7500, 0.2500, 0.7500], [0.7500, 0.7500, 0.2500], [0.7500, 0.7500, 0.7500], [0.0000, 0.0000, 0.0000], [0.0000, 0.5000, 0.5000], [0.5000, 0.0000, 0.5000], [0.5000, 0.5000, 0.0000], [0.0000, 0.0000, 0.5000], [0.0000, 0.5000, 0.0000], [0.5000, 0.0000, 0.0000], [0.5000, 0.5000, 0.5000]],
  "spacegroup": "Fm-3m",
  "magnetic_moment_mub_per_fu": 7.71
}

(4)
{
  "formula": "Mn2CdHg",
  "functional": "PBE",
  "state": "relaxed",
  "cell": [[3.0187, 0.0000, 0.0000], [0.0000, 3.0187, 0.0000], [0.0000, 0.0000, 7.7151]],
  "species": ["Mn", "Mn", "Cd", "Hg"],
  "fractional_positions": [[0.0000, 0.0000, 0.0000], [0.5000, 0.5000, 0.1752], [0.0000, 0.0000, 0.4310], [0.5000, 0.5000, 0.7423]],
  "spacegroup": "P4mm",
  "magnetic_moment_mub_per_fu": 0.10
}

no.,distance to the lowest polymorph of the same formula (eV/atom)
1,0.000
2,0.147
3,0.094
4,0.000